[1]
# Rb2LaFe

A geometry-optimized Rb2LaFe structure (PBE, Alexandria).

```
data_Rb2LaFe
_chemical_formula_sum 'Rb8 La4 Fe4'
_space_group_name_H-M_alt 'F m -3 m'
_space_group_IT_number 225
_space_group_name_Hall '-F 4 2 3'
_cell_length_a 8.700
_cell_length_b 8.700
_cell_length_c 8.700
_cell_angle_alpha 90.00
_cell_angle_beta 90.00
_cell_angle_gamma 90.00
loop_
_atom_site_label
_atom_site_type_symbol
_atom_site_fract_x
_atom_site_fract_y
_atom_site_fract_z
Rb1 Rb 0.250 0.250 0.250
La1 La 0.000 0.000 0.000
Fe1 Fe 0.000 0.000 0.500
```

[2]
# RbLaFe3

A geometry-optimized RbLaFe3 structure (PBE, Alexandria).

```
data_RbLaFe3
_chemical_formula_sum 'Rb1 La1 Fe3'
_space_group_name_H-M_alt 'P m -3 m'
_space_group_IT_number 221
_space_group_name_Hall '-P 4 2 3'
_cell_length_a 5.334
_cell_length_b 5.334
_cell_length_c 5.334
_cell_angle_alpha 90.00
_cell_angle_beta 90.00
_cell_angle_gamma 90.00
loop_
_atom_site_label
_atom_site_type_symbol
_atom_site_fract_x
_atom_site_fract_y
_atom_site_fract_z
Rb1 Rb 0.000 0.000 0.000
La1 La 0.500 0.500 0.500
Fe1 Fe 0.000 0.500 0.500
```

Going through the records in order, we get formation enthalpy at 0 K values of 1276 1586 meV per atom.
Going through the records in order, we get E above lowest polymorph values of 487 0 meV per atom.
Going through the records in order, we get volume values of 658.6 151.7 Å³ per cell.